No. 1
# AcZnSnPt3

A geometry-optimized AcZnSnPt3 structure (PBE, the Alexandria database).

a b c (Å): 6.7851 6.7851 7.5159
angles (deg): 90.00 90.00 128.95
Last column: nearest neighbours and their distance in Å.
Atoms (fractional coordinates):
Ac 0.1829 0.8171 0.7500  6 Pt 2.93-3.25, 1 Zn 3.25
Ac 0.8171 0.1829 0.2500  6 Pt 2.93-3.25, 1 Zn 3.25
Zn 0.4483 0.5517 0.7500  5 Pt 2.49-2.66
Zn 0.5517 0.4483 0.2500  5 Pt 2.49-2.66
Sn 0.1207 0.8793 0.2500  5 Pt 2.62-2.78
Sn 0.8793 0.1207 0.7500  5 Pt 2.62-2.78
Pt 0.2417 0.2417 0.0000  2 Zn 2.49, 2 Sn 2.78
Pt 0.2417 0.2417 0.5000  2 Zn 2.49, 2 Sn 2.78
Pt 0.3347 0.6653 0.2500  1 Sn 2.62, 1 Zn 2.66, 2 Ac 2.93
Pt 0.6653 0.3347 0.7500  1 Sn 2.62, 1 Zn 2.66, 2 Ac 2.93
Pt 0.7583 0.7583 0.0000  2 Zn 2.49, 2 Sn 2.78
Pt 0.7583 0.7583 0.5000  2 Zn 2.49, 2 Sn 2.78

ρ = 12.297 Mg/m³
Calculated formation energy = -0.66 eV/atom
E_tot = -62.876 eV/cell

No. 2
# Ac2ZnSn3Pt4

A geometry-optimized Ac2ZnSn3Pt4 structure (PBE, the Alexandria database).

a b c (Å): 4.6736 4.6736 10.6299
angles (deg): 90.00 90.00 90.00
Last column: nearest neighbours and their distance in Å.
Atoms (fractional coordinates):
Ac 0.0000 0.5000 0.2492  6 Sn 3.53-3.56, 2 Zn 3.53, 8 Pt 3.55-3.57
Ac 0.5000 0.0000 0.7508  6 Sn 3.53-3.56, 2 Zn 3.53, 8 Pt 3.55-3.57
Zn 0.5000 0.5000 0.0000  4 Pt 2.68
Sn 0.0000 0.0000 0.0000  4 Pt 2.68
Sn 0.0000 0.5000 0.6272  5 Pt 2.65-2.70
Sn 0.5000 0.0000 0.3728  5 Pt 2.65-2.70
Pt 0.0000 0.0000 0.5000  4 Sn 2.70
Pt 0.0000 0.5000 0.8766  3 Sn 2.65-2.68, 2 Zn 2.68
Pt 0.5000 0.0000 0.1234  3 Sn 2.65-2.68, 2 Zn 2.68
Pt 0.5000 0.5000 0.5000  4 Sn 2.70

ρ = 11.842 Mg/m³
Calculated formation energy = -0.88 eV/atom
E_tot = -54.435 eV/cell

No. 3
# Ac2ZrSn3Pt4

A geometry-optimized Ac2ZrSn3Pt4 structure (PBE, the Alexandria database).

a b c (Å): 4.7054 4.7054 10.8053
angles (deg): 90.00 90.00 90.00
Last column: nearest neighbours and their distance in Å.
Atoms (fractional coordinates):
Ac 0.0000 0.5000 0.2374  8 Pt 3.48-3.62, 6 Sn 3.55-3.69, 2 Zr 3.69
Ac 0.5000 0.0000 0.7626  8 Pt 3.48-3.62, 6 Sn 3.55-3.69, 2 Zr 3.69
Zr 0.0000 0.0000 0.5000  4 Pt 2.75
Sn 0.0000 0.5000 0.8759  5 Pt 2.64-2.71
Sn 0.5000 0.0000 0.1241  5 Pt 2.64-2.71
Sn 0.5000 0.5000 0.5000  4 Pt 2.75
Pt 0.0000 0.0000 0.0000  4 Sn 2.71
Pt 0.0000 0.5000 0.6317  3 Sn 2.64-2.75, 2 Zr 2.75
Pt 0.5000 0.0000 0.3683  3 Sn 2.64-2.75, 2 Zr 2.75
Pt 0.5000 0.5000 0.0000  4 Sn 2.71

ρ = 11.673 Mg/m³
Calculated formation energy = -0.93 eV/atom
E_tot = -62.194 eV/cell

No. 4
# SrAc5Pt6

A geometry-optimized SrAc5Pt6 structure (PBE, the Alexandria database).

a b c (Å): 7.5809 7.5809 7.6172
angles (deg): 99.56 99.56 119.97
Last column: nearest neighbours and their distance in Å.
Atoms (fractional coordinates):
Sr 0.0000 0.0000 0.0000  6 Pt 3.15
Ac 0.1665 0.8335 0.5000  6 Pt 3.05-3.10
Ac 0.3335 0.6665 0.0000  6 Pt 3.10
Ac 0.5000 0.5000 0.5000  6 Pt 3.05-3.10
Ac 0.6665 0.3335 0.0000  6 Pt 3.10
Ac 0.8335 0.1665 0.5000  6 Pt 3.05-3.10
Pt 0.0844 0.4230 0.2536  5 Ac 3.05-3.10, 1 Sr 3.15
Pt 0.2542 0.2542 0.7465  5 Ac 3.05-3.10, 1 Sr 3.15
Pt 0.4230 0.0844 0.2536  5 Ac 3.05-3.10, 1 Sr 3.15
Pt 0.5770 0.9156 0.7464  5 Ac 3.05-3.10, 1 Sr 3.15
Pt 0.7458 0.7458 0.2535  5 Ac 3.05-3.10, 1 Sr 3.15
Pt 0.9156 0.5770 0.7464  5 Ac 3.05-3.10, 1 Sr 3.15

ρ = 11.110 Mg/m³
Calculated formation energy = -1.10 eV/atom
E_tot = -71.669 eV/cell

No. 5
# Sr2AcPt9

A geometry-optimized Sr2AcPt9 structure (PBE, the Alexandria database).

a b c (Å): 9.5479 9.5479 9.5479
angles (deg): 33.75 33.75 33.75
Last column: nearest neighbours and their distance in Å.
Atoms (fractional coordinates):
Sr 0.1422 0.1422 0.1422  12 Pt 3.20-3.32, 3 Sr 3.46
Sr 0.8578 0.8578 0.8578  12 Pt 3.20-3.32, 3 Sr 3.46
Ac 0.0000 0.0000 0.0000  18 Pt 3.20-3.56
Pt 0.0817 0.5838 0.5838  7 Pt 2.73-2.78
Pt 0.3323 0.3323 0.3323  6 Pt 2.73-2.78
Pt 0.4162 0.4162 0.9183  7 Pt 2.73-2.78
Pt 0.4162 0.9183 0.4162  7 Pt 2.73-2.78
Pt 0.5000 0.5000 0.5000  6 Pt 2.77
Pt 0.5838 0.0817 0.5838  7 Pt 2.73-2.78
Pt 0.5838 0.5838 0.0817  7 Pt 2.73-2.78
Pt 0.6677 0.6677 0.6677  6 Pt 2.73-2.78
Pt 0.9183 0.4162 0.4162  7 Pt 2.73-2.78

ρ = 14.973 Mg/m³
Calculated formation energy = -0.81 eV/atom
E_tot = -71.570 eV/cell

No. 6
# Sr2AcPt

A geometry-optimized Sr2AcPt structure (PBE, the Alexandria database).

a b c (Å): 4.3606 18.0056 4.3606
angles (deg): 90.00 90.00 90.00
Last column: nearest neighbours and their distance in Å.
Atoms (fractional coordinates):
Sr 0.0000 0.0799 0.0000  12 Sr 4.22-4.36
Sr 0.0000 0.7566 0.0006  1 Pt 3.02
Sr 0.5000 0.2434 0.5006  1 Pt 3.02
Sr 0.5000 0.9201 0.5000  12 Sr 4.22-4.36
Ac 0.0000 0.4180 0.0016  5 Pt 3.08-3.09
Ac 0.5000 0.5820 0.5016  5 Pt 3.08-3.09
Pt 0.0000 0.5891 0.0016  1 Sr 3.02, 5 Ac 3.08-3.09
Pt 0.5000 0.4109 0.5016  1 Sr 3.02, 5 Ac 3.08-3.09

ρ = 5.794 Mg/m³
Calculated formation energy = -0.62 eV/atom
E_tot = -31.946 eV/cell